Entry from Alexandria via LeMat-Bulk: VCdPbF2 after structural relaxation (PBE+U).

Computed properties:
Total energy in eV per atom: -3.730
Total magnetization in μB per atom: 0.8136
SG: P4/mmm (123)

Cell lengths 4.6140, 6.1158, 4.6140 Å; angles 90.00, 90.00, 90.00 degrees
Each line ends with the local moment (μB).
Element x y z (fractional)
Pb: 0.0000 0.0000 0.0000  -0.01
F: 0.0000 0.0000 0.5000  0.01
F: 0.5000 0.0000 0.0000  0.01
V: 0.5000 0.5000 0.5000  3.22
Cd: 0.0000 0.5000 0.0000  0.03